No. 1
# CaGe2Ir2 | Alexandria via LeMat-Bulk | PBE-GGA | optimized geometry
# Magnetization, μB per cell: 0.00
# Calculated formation energy, eV/atom: -0.29
# Raw total energy, eV/atom: -6.0790
data_CaGe2Ir2
_chemical_formula_sum 'Ca2 Ge4 Ir4'
_space_group_name_H-M_alt 'P 4/m b m'
_space_group_IT_number 127
_space_group_name_Hall '-P 4 2ab'
_cell_length_a 7.6342
_cell_length_b 7.6342
_cell_length_c 2.8981
_cell_angle_alpha 90.00
_cell_angle_beta 90.00
_cell_angle_gamma 90.00
loop_
_atom_site_label
_atom_site_fract_x
_atom_site_fract_y
_atom_site_fract_z
Ca1 0.0000 0.0000 0.0000
Ge1 0.1456 0.3544 0.0000
Ir1 0.1467 0.6467 0.5000

No. 2
# U2MnH | Alexandria via LeMat-Bulk | PBE-GGA | optimized geometry
# Magnetization, μB per cell: 7.14
# Raw total energy, eV/atom: -8.3078
data_U2MnH
_chemical_formula_sum 'U6 Mn3 H3'
_space_group_name_H-M_alt 'R -3 m'
_space_group_IT_number 166
_space_group_name_Hall '-R 3 2"'
_cell_length_a 2.9836
_cell_length_b 2.9836
_cell_length_c 25.0655
_cell_angle_alpha 90.00
_cell_angle_beta 90.00
_cell_angle_gamma 120.00
loop_
_atom_site_label
_atom_site_fract_x
_atom_site_fract_y
_atom_site_fract_z
U1 0.0000 0.0000 0.0825
Mn1 0.0000 0.0000 0.5000
H1 0.0000 0.0000 0.0000

No. 3
# Nb3VAu | Alexandria via LeMat-Bulk | PBE-GGA | optimized geometry
# Energy above the lowest structure with this stoichiometry, eV/atom: 0.890
# Magnetization, μB per cell: 2.44
# Calculated formation energy, eV/atom: 1.76
# Raw total energy, eV/atom: -6.7593
data_Nb3VAu
_chemical_formula_sum 'Nb3 V1 Au1'
_space_group_name_H-M_alt 'P m -3 m'
_space_group_IT_number 221
_space_group_name_Hall '-P 4 2 3'
_cell_length_a 4.9579
_cell_length_b 4.9579
_cell_length_c 4.9579
_cell_angle_alpha 90.00
_cell_angle_beta 90.00
_cell_angle_gamma 90.00
loop_
_atom_site_label
_atom_site_fract_x
_atom_site_fract_y
_atom_site_fract_z
Nb1 0.0000 0.0000 0.5000
V1 0.5000 0.5000 0.5000
Au1 0.0000 0.0000 0.0000

No. 4
# Lu2ScNi | Alexandria via LeMat-Bulk | PBE-GGA | optimized geometry
# Magnetization, μB per cell: 0.59
# Calculated formation energy, eV/atom: -0.20
# Raw total energy, eV/atom: -5.4909
data_Lu2ScNi
_chemical_formula_sum 'Lu2 Sc1 Ni1'
_space_group_name_H-M_alt 'P 4/m m m'
_space_group_IT_number 123
_space_group_name_Hall '-P 4 2'
_cell_length_a 3.3549
_cell_length_b 3.3549
_cell_length_c 8.0607
_cell_angle_alpha 90.00
_cell_angle_beta 90.00
_cell_angle_gamma 90.00
loop_
_atom_site_label
_atom_site_fract_x
_atom_site_fract_y
_atom_site_fract_z
Lu1 0.0000 0.0000 0.1966
Sc1 0.5000 0.5000 0.5000
Ni1 0.5000 0.5000 0.0000

No. 5
# BeAgP2Pd | Alexandria via LeMat-Bulk | PBE-GGA | optimized geometry
# Magnetization, μB per cell: 0.00
# Calculated formation energy, eV/atom: 0.68
# Raw total energy, eV/atom: -3.8387
data_BeAgP2Pd
_chemical_formula_sum 'Be1 Ag1 P2 Pd1'
_space_group_name_H-M_alt 'P 4/m m m'
_space_group_IT_number 123
_space_group_name_Hall '-P 4 2'
_cell_length_a 4.6961
_cell_length_b 4.6961
_cell_length_c 4.2381
_cell_angle_alpha 90.00
_cell_angle_beta 90.00
_cell_angle_gamma 90.00
loop_
_atom_site_label
_atom_site_fract_x
_atom_site_fract_y
_atom_site_fract_z
Be1 0.0000 0.0000 0.0000
Ag1 0.5000 0.5000 0.0000
P1 0.0000 0.5000 0.5000
Pd1 0.0000 0.0000 0.5000

No. 6
# LiCa2Zn3 | Alexandria via LeMat-Bulk | PBE-GGA | optimized geometry
# Energy above the lowest structure with this stoichiometry, eV/atom: 0.018
# Magnetization, μB per cell: 0.00
# Calculated formation energy, eV/atom: -0.17
# Raw total energy, eV/atom: -1.7971
data_LiCa2Zn3
_chemical_formula_sum 'Li2 Ca4 Zn6'
_space_group_name_H-M_alt 'I m m 2'
_space_group_IT_number 44
_cell_length_a 4.0693
_cell_length_b 4.4239
_cell_length_c 15.7878
_cell_angle_alpha 90.00
_cell_angle_beta 90.00
_cell_angle_gamma 90.00
loop_
_space_group_symop_operation_xyz
'x,y,z'
'-x,-y,z'
'-x,y,z'
'x,-y,z'
'x+1/2,y+1/2,z+1/2'
'-x+1/2,-y+1/2,z+1/2'
'-x+1/2,y+1/2,z+1/2'
'x+1/2,-y+1/2,z+1/2'
loop_
_atom_site_label
_atom_site_fract_x
_atom_site_fract_y
_atom_site_fract_z
Li1 0.0000 0.0000 0.0000
Ca1 0.0000 0.0000 0.5833
Ca2 0.0000 0.5000 0.8266
Zn1 0.0000 0.0000 0.1656
Zn2 0.0000 0.5000 0.2421
Zn3 0.0000 0.5000 0.4036

Which of these has the lowest raw total energy?
U2MnH